# MgSc2In

Crystalline MgSc2In at its relaxed geometry (PBE, the Alexandria database).

Computed properties:
Magnetic moment in μB/atom: 0.000
Calculated formation energy in eV/atom: -0.271
Calculated total energy in eV/atom: -4.520
Symmetry: No. 123
Energy above the lowest structure with this stoichiometry in meV per atom: 26

a = 3.6086 Å, b = 3.6086 Å, c = 6.9528 Å
α = 90.00°, β = 90.00°, γ = 90.00°
With the nearest neighbours (Å) after each atom.
Fractional coordinates of all 4 atoms:
Mg (0.0000, 0.0000, 0.0000)  8 Sc 3.07
Sc (0.5000, 0.5000, 0.2462)  4 Mg 3.07, 4 In 3.10, 1 Sc 3.42
Sc (0.5000, 0.5000, 0.7538)  4 Mg 3.07, 4 In 3.10, 1 Sc 3.42
In (0.0000, 0.0000, 0.5000)  8 Sc 3.10